A geometry-optimized CePF structure. Source: Alexandria, functional PBE. Values from VASP.

Quantum ESPRESSO input file:
```
&SYSTEM
  ibrav = 0, nat = 12, ntyp = 3
/
ATOMIC_SPECIES
Ce 140.12 Ce.upf
P 30.97 P.upf
F 19.00 F.upf
CELL_PARAMETERS angstrom
7.3578 0.0000 0.0000
0.0000 3.5696 0.0000
0.0000 0.0000 8.2973
ATOMIC_POSITIONS angstrom
Ce 0.8723 0.8924 1.7177
Ce 2.8066 2.6772 5.8664
Ce 4.5512 0.8924 2.4310
Ce 6.4855 2.6772 6.5796
P 0.5192 0.8924 4.7330
P 3.1597 2.6772 0.5844
P 4.1981 0.8924 7.7130
P 6.8386 2.6772 3.5643
F 0.6250 0.8924 7.5734
F 3.0539 2.6772 3.4247
F 4.3039 0.8924 4.8726
F 6.7328 2.6772 0.7239
```

E above lowest polymorph   106 kJ/mol of formula units
Total magnetization   4.1 Bohr magnetons per cell
Crystal system   orthorhombic
Formation energy from raw total energies   -1.9864 eV per atom



A geometry-optimized Ce2PF structure. Source: Alexandria, functional PBE. Values from VASP.

Quantum ESPRESSO input file:
```
&SYSTEM
  ibrav = 0, nat = 8, ntyp = 3
/
ATOMIC_SPECIES
Ce 140.12 Ce.upf
P 30.97 P.upf
F 19.00 F.upf
CELL_PARAMETERS angstrom
-2.7710 2.7710 5.4606
2.7710 -2.7710 5.4606
2.7710 2.7710 -5.4606
ATOMIC_POSITIONS angstrom
Ce 2.7710 1.3855 -1.4050
Ce 0.0000 1.3855 1.3253
Ce 2.7710 1.3855 4.1352
Ce 0.0000 1.3855 6.8655
P 2.7710 1.3855 1.3651
P 0.0000 1.3855 4.0954
F 2.7710 -1.3855 4.0954
F 0.0000 4.1565 1.3651
```

E above lowest polymorph   21 kJ/mol of formula units
Total magnetization   1.5 Bohr magnetons per cell
Crystal system   tetragonal
Formation energy from raw total energies   -1.9105 eV per atom



A geometry-optimized CePF structure. Source: Alexandria, functional PBE. Values from VASP.

Quantum ESPRESSO input file:
```
&SYSTEM
  ibrav = 0, nat = 3, ntyp = 3
/
ATOMIC_SPECIES
Ce 140.12 Ce.upf
P 30.97 P.upf
F 19.00 F.upf
CELL_PARAMETERS angstrom
0.0000 3.1564 3.1564
3.1564 0.0000 3.1564
3.1564 3.1564 0.0000
ATOMIC_POSITIONS angstrom
Ce 0.0000 0.0000 0.0000
P 4.7346 4.7346 4.7346
F 1.5782 1.5782 1.5782
```

E above lowest polymorph   107 kJ/mol of formula units
Total magnetization   0.0 Bohr magnetons per cell
Crystal system   cubic
Formation energy from raw total energies   -1.9827 eV per atom



A geometry-optimized Ce2PF structure. Source: Alexandria, functional PBE. Values from VASP.

Quantum ESPRESSO input file:
```
&SYSTEM
  ibrav = 0, nat = 4, ntyp = 3
/
ATOMIC_SPECIES
Ce 140.12 Ce.upf
P 30.97 P.upf
F 19.00 F.upf
CELL_PARAMETERS angstrom
1.9283 1.1133 6.7065
-1.9283 1.1133 6.7065
0.0000 -2.2266 6.7065
ATOMIC_POSITIONS angstrom
Ce 0.0000 0.0000 0.0000
Ce 0.0000 0.0000 3.3905
P 0.0000 0.0000 11.7705
F 0.0000 0.0000 8.2816
```

E above lowest polymorph   50 kJ/mol of formula units
Total magnetization   2.1 Bohr magnetons per cell
Crystal system   trigonal
Formation energy from raw total energies   -1.8357 eV per atom



A geometry-optimized CePF structure. Source: Alexandria, functional PBE. Values from VASP.

Quantum ESPRESSO input file:
```
&SYSTEM
  ibrav = 0, nat = 3, ntyp = 3
/
ATOMIC_SPECIES
Ce 140.12 Ce.upf
P 30.97 P.upf
F 19.00 F.upf
CELL_PARAMETERS angstrom
4.0448 0.0000 0.0000
-2.0224 3.5029 0.0000
0.0000 0.0000 3.9514
ATOMIC_POSITIONS angstrom
Ce 0.0000 0.0000 0.0000
P 2.0224 1.1676 1.9757
F 0.0000 2.3353 0.0000
```

E above lowest polymorph   43 kJ/mol of formula units
Total magnetization   0.1 Bohr magnetons per cell
Crystal system   hexagonal
Formation energy from raw total energies   -2.2010 eV per atom



A geometry-optimized Ce2PF structure. Source: Alexandria, functional PBE. Values from VASP.

Quantum ESPRESSO input file:
```
&SYSTEM
  ibrav = 0, nat = 4, ntyp = 3
/
ATOMIC_SPECIES
Ce 140.12 Ce.upf
P 30.97 P.upf
F 19.00 F.upf
CELL_PARAMETERS angstrom
1.9618 1.1326 6.1554
-1.9618 1.1326 6.1554
0.0000 -2.2652 6.1554
ATOMIC_POSITIONS angstrom
Ce 0.0000 0.0000 4.5309
Ce 0.0000 0.0000 13.9353
P 0.0000 0.0000 0.0000
F 0.0000 0.0000 9.2331
```

E above lowest polymorph   0 kJ/mol of formula units
Total magnetization   1.1 Bohr magnetons per cell
Crystal system   trigonal
Formation energy from raw total energies   -1.9661 eV per atom



A geometry-optimized CePF structure. Source: Alexandria, functional PBE. Values from VASP.

Quantum ESPRESSO input file:
```
&SYSTEM
  ibrav = 0, nat = 3, ntyp = 3
/
ATOMIC_SPECIES
Ce 140.12 Ce.upf
P 30.97 P.upf
F 19.00 F.upf
CELL_PARAMETERS angstrom
-1.6964 1.6964 4.7933
1.6964 -1.6964 4.7933
1.6964 1.6964 -4.7933
ATOMIC_POSITIONS angstrom
Ce 0.0000 0.0000 0.0000
P 0.0000 0.0000 3.0454
F 0.0000 0.0000 5.7909
```

E above lowest polymorph   175 kJ/mol of formula units
Total magnetization   0.5 Bohr magnetons per cell
Crystal system   tetragonal
Formation energy from raw total energies   -1.7466 eV per atom



A geometry-optimized Ce2PF3 structure. Source: Alexandria, functional PBE. Values from VASP.

Quantum ESPRESSO input file:
```
&SYSTEM
  ibrav = 0, nat = 12, ntyp = 3
/
ATOMIC_SPECIES
Ce 140.12 Ce.upf
P 30.97 P.upf
F 19.00 F.upf
CELL_PARAMETERS angstrom
7.5254 -1.9643 0.0000
7.5254 1.9643 0.0000
-3.6992 0.0000 7.0775
ATOMIC_POSITIONS angstrom
Ce -0.5625 0.0000 1.5372
Ce 3.2496 0.0000 2.0102
Ce 8.1020 0.0000 5.0673
Ce 11.9141 0.0000 5.5403
P 2.0420 0.0000 6.7149
P 9.3097 0.0000 0.3626
F -0.8784 0.0000 4.8320
F 1.1554 0.0000 3.2270
F 4.4793 0.0000 4.1902
F 6.8723 0.0000 2.8873
F 10.1962 0.0000 3.8505
F 12.2300 0.0000 2.2455
```

Total magnetization   4.0 Bohr magnetons per cell
Crystal system   monoclinic
Formation energy from raw total energies   -3.0184 eV per atom



A geometry-optimized CePF structure. Source: Alexandria, functional PBE. Values from VASP.

Quantum ESPRESSO input file:
```
&SYSTEM
  ibrav = 0, nat = 6, ntyp = 3
/
ATOMIC_SPECIES
Ce 140.12 Ce.upf
P 30.97 P.upf
F 19.00 F.upf
CELL_PARAMETERS angstrom
4.7728 -1.9791 0.0000
4.7728 1.9791 0.0000
-2.7400 0.0000 6.5728
ATOMIC_POSITIONS angstrom
Ce 1.1991 0.0000 1.5093
Ce 5.6065 0.0000 5.0636
P 3.9459 0.0000 0.7107
P 2.8597 0.0000 5.8621
F 0.2139 0.0000 3.7750
F 6.5918 0.0000 2.7978
```

E above lowest polymorph   0 kJ/mol of formula units
Total magnetization   2.0 Bohr magnetons per cell
Crystal system   monoclinic
Formation energy from raw total energies   -2.3511 eV per atom



A geometry-optimized CePb2F8 structure. Source: Alexandria, functional PBE. Values from VASP.

Quantum ESPRESSO input file:
```
&SYSTEM
  ibrav = 0, nat = 11, ntyp = 3
/
ATOMIC_SPECIES
Ce 140.12 Ce.upf
Pb 207.20 Pb.upf
F 19.00 F.upf
CELL_PARAMETERS angstrom
7.4377 -2.0497 0.0000
7.4377 2.0497 0.0000
-1.9694 0.0000 5.4946
ATOMIC_POSITIONS angstrom
Ce 0.0000 0.0000 0.0000
Pb 4.1124 0.0000 1.7998
Pb 8.7936 0.0000 3.6948
F 0.5655 0.0000 2.1338
F 0.2713 0.0000 5.2824
F 2.7745 0.0000 3.7730
F 6.7595 0.0000 1.0270
F 6.1465 0.0000 4.4676
F 10.1315 0.0000 1.7217
F 12.6347 0.0000 0.2123
F 12.3405 0.0000 3.3608
```

E above lowest polymorph   0 kJ/mol of formula units
Total magnetization   0.0 Bohr magnetons per cell
Crystal system   monoclinic
Formation energy from raw total energies   -2.9981 eV per atom



A geometry-optimized CePbF2 structure. Source: Alexandria, functional PBE. Values from VASP.

Quantum ESPRESSO input file:
```
&SYSTEM
  ibrav = 0, nat = 4, ntyp = 3
/
ATOMIC_SPECIES
Ce 140.12 Ce.upf
Pb 207.20 Pb.upf
F 19.00 F.upf
CELL_PARAMETERS angstrom
1.7516 1.0113 9.9643
-1.7516 1.0113 9.9643
0.0000 -2.0226 9.9643
ATOMIC_POSITIONS angstrom
Ce 0.0000 0.0000 0.0000
Pb 0.0000 0.0000 14.9464
F 0.0000 0.0000 11.3221
F 0.0000 0.0000 18.5707
```

Total magnetization   1.9 Bohr magnetons per cell
Crystal system   trigonal
Formation energy from raw total energies   -2.2404 eV per atom



A geometry-optimized CePb2F11 structure. Source: Alexandria, functional PBE. Values from VASP.

Quantum ESPRESSO input file:
```
&SYSTEM
  ibrav = 0, nat = 28, ntyp = 3
/
ATOMIC_SPECIES
Ce 140.12 Ce.upf
Pb 207.20 Pb.upf
F 19.00 F.upf
CELL_PARAMETERS angstrom
-4.0593 5.1894 5.5420
4.0593 -5.1894 5.5420
4.0593 5.1894 -5.5420
ATOMIC_POSITIONS angstrom
Ce 0.0000 0.0000 2.7710
Ce 0.0000 0.0000 8.3130
Pb 5.1901 1.8803 0.0000
Pb 1.1307 3.3090 0.0000
Pb 2.9286 1.8803 5.5420
Pb -1.1307 3.3090 5.5420
F 4.0593 0.0000 0.0000
F 4.8400 -3.3829 3.9441
F 1.7961 -0.7253 1.5232
F 4.8400 3.3829 -1.5979
F 6.3226 0.7253 1.5232
F 2.9978 2.2383 0.0000
F 2.9978 -2.2383 5.5420
F 2.2632 4.4640 -1.5232
F 0.7807 1.8065 1.5979
F 1.7961 0.7253 4.0188
F 4.8400 3.3829 1.5979
F 0.0000 5.1894 0.0000
F -0.7807 1.8065 3.9441
F 2.2632 4.4640 1.5232
F 3.2787 3.3829 3.9441
F 1.7961 0.7253 7.0652
F 1.0615 7.4277 0.0000
F 1.0615 2.9510 5.5420
F -2.2632 4.4640 4.0188
F -0.7807 1.8065 7.1400
F 2.2632 5.9147 4.0188
F -0.7807 8.5722 1.5979
```

Total magnetization   0.0 Bohr magnetons per cell
Crystal system   orthorhombic
Formation energy from raw total energies   -2.5591 eV per atom